13
Lattice="5.342 0.012 2.169 2.589 6.842 1.051 0.100 0.006 7.419" Properties=species:S:1:pos:R:3 comment="TmZn3Cd9 | Alexandria | GGA-PBE | relaxed" sg="C2/m (12)" delta_e_f_mev_per_atom=-60 pbc="T T T"
Tm 0.000 0.000 0.000
Zn 3.966 3.427 1.610
Zn 0.050 0.003 3.709
Zn 2.721 0.009 4.794
Cd 5.888 5.403 8.158
Cd 2.143 1.457 2.480
Cd 3.366 1.463 7.134
Cd 4.665 5.397 3.504
Cd 4.402 2.338 4.365
Cd 3.629 4.522 6.274
Cd 7.075 4.528 5.450
Cd 0.956 2.332 5.189
Cd 1.294 3.421 0.525

=====

4
Lattice="2.253 -3.909 -1.974 1.520 1.784 4.331 -4.570 -0.439 1.763" Properties=species:S:1:pos:R:3 comment="TmZnCd2 | Alexandria | GGA-PBE | relaxed" sg="I-4m2 (119)" delta_e_f_mev_per_atom=-227 pbc="T T T"
Tm 1.407 -1.521 1.533
Zn -1.243 -0.124 1.878
Cd -2.767 0.550 4.926
Cd -1.639 -2.634 0.249

=====

12
Lattice="4.757 -0.028 1.585 0.038 7.120 0.013 -0.004 -0.014 7.942" Properties=species:S:1:pos:R:3 comment="Tm6Zn5Cd | Alexandria | GGA-PBE | relaxed" sg="Cmmm (65)" delta_e_f_mev_per_atom=-338 pbc="T T T"
Zn 3.184 3.532 6.369
Zn 1.591 -0.014 3.154
Zn 0.019 3.560 0.006
Zn 3.161 -0.028 6.373
Zn 1.607 3.546 3.171
Tm 3.974 5.285 4.028
Tm 3.956 1.778 4.022
Tm 2.388 1.828 0.796
Tm 2.407 5.264 0.802
Tm 0.835 5.299 5.518
Tm 0.816 1.793 5.512
Cd 0.000 0.000 0.000

=====

7
Lattice="-4.268 -0.244 -1.793 0.568 -4.542 -0.733 -2.738 -1.426 6.711" Properties=species:S:1:pos:R:3 comment="TmZnCd5 | Alexandria | GGA-PBE | relaxed" sg="P4/mmm (123)" delta_e_f_mev_per_atom=-149 pbc="T T T"
Tm 0.000 0.000 0.000
Zn -1.369 -0.713 3.355
Cd -4.071 -1.131 3.851
Cd -1.653 -3.280 4.381
Cd -1.850 -2.393 -1.263
Cd -0.517 -2.688 1.597
Cd -2.935 -0.539 1.067

=====

Repeat the first record exactly.
13
Lattice="5.342 0.012 2.169 2.589 6.842 1.051 0.100 0.006 7.419" Properties=species:S:1:pos:R:3 comment="TmZn3Cd9 | Alexandria | GGA-PBE | relaxed" sg="C2/m (12)" delta_e_f_mev_per_atom=-60 pbc="T T T"
Tm 0.000 0.000 0.000
Zn 3.966 3.427 1.610
Zn 0.050 0.003 3.709
Zn 2.721 0.009 4.794
Cd 5.888 5.403 8.158
Cd 2.143 1.457 2.480
Cd 3.366 1.463 7.134
Cd 4.665 5.397 3.504
Cd 4.402 2.338 4.365
Cd 3.629 4.522 6.274
Cd 7.075 4.528 5.450
Cd 0.956 2.332 5.189
Cd 1.294 3.421 0.525

=====

Please write out number 2 again, unchanged.
4
Lattice="2.253 -3.909 -1.974 1.520 1.784 4.331 -4.570 -0.439 1.763" Properties=species:S:1:pos:R:3 comment="TmZnCd2 | Alexandria | GGA-PBE | relaxed" sg="I-4m2 (119)" delta_e_f_mev_per_atom=-227 pbc="T T T"
Tm 1.407 -1.521 1.533
Zn -1.243 -0.124 1.878
Cd -2.767 0.550 4.926
Cd -1.639 -2.634 0.249

=====

Q: What is the formula in the third record?
A: Tm6Zn5Cd